--- w ---
Crystalline NaLaSe2N at its relaxed geometry, computed with PBE.

## Properties
symmetry: P4/mmm
total magnetization: 2.08 μB/f.u.

Cell: 5.6353 9.9770 5.6353 Å, 90.00 90.00 90.00°
Each line ends with the local moment (μB).
Atoms (fractional coordinates):
Se (0.5000, 0.0000, 0.0000)  -0.05
Se (0.0000, 0.0000, 0.5000)  -0.07
Na (0.0000, 0.5000, 0.0000)  -0.03
N (0.5000, 0.5000, 0.5000)  1.59
La (0.0000, 0.0000, 0.0000)  -0.01



--- x ---
Crystalline NaLaSe2N at its relaxed geometry, computed with PBE.

## Properties
symmetry: P4/mmm
total magnetization: 2.15 μB/f.u.

Cell: 6.0038 6.0038 4.3273 Å, 90.00 90.00 90.00°
Each line ends with the local moment (μB).
Atoms (fractional coordinates):
N (0.0000, 0.0000, 0.5000)  0.37
Na (0.5000, 0.5000, 0.5000)  0.00
La (0.0000, 0.0000, 0.0000)  0.02
Se (0.5000, 0.0000, 0.0000)  0.48
Se (0.0000, 0.5000, 0.0000)  0.48



--- y ---
Crystalline NaLaSe2N at its relaxed geometry, computed with PBE.

## Properties
symmetry: P4/mmm
total magnetization: 3.00 μB/f.u.

Cell: 5.2320 4.2798 5.2320 Å, 90.00 90.00 90.00°
Each line ends with the local moment (μB).
Atoms (fractional coordinates):
N (0.0000, 0.5000, 0.0000)  1.54
Na (0.0000, 0.0000, 0.0000)  0.03
Se (0.5000, 0.0000, 0.0000)  0.25
Se (0.0000, 0.0000, 0.5000)  0.24
La (0.5000, 0.5000, 0.5000)  -0.01



According to the calculations, the structures order from most to least stable as x, y, w.



--- w ---
Crystalline NaLaTeN2 at its relaxed geometry, computed with PBE.

## Properties
symmetry: P4/mmm
total magnetization: 3.99 μB/f.u.

Cell: 4.5874 4.5874 5.3426 Å, 90.00 90.00 90.00°
Each line ends with the local moment (μB).
Atoms (fractional coordinates):
Na (0.0000, 0.0000, 0.0000)  0.03
N (0.0000, 0.5000, 0.0000)  1.27
N (0.5000, 0.0000, 0.0000)  1.27
La (0.5000, 0.5000, 0.5000)  -0.05
Te (0.0000, 0.0000, 0.5000)  0.22



--- x ---
Crystalline NaLaTeN2 at its relaxed geometry, computed with PBE.

## Properties
symmetry: P4/mmm
total magnetization: 2.27 μB/f.u.

Cell: 4.4768 4.4768 6.7543 Å, 90.00 90.00 90.00°
Each line ends with the local moment (μB).
Atoms (fractional coordinates):
N (0.5000, 0.0000, 0.0000)  0.51
N (0.0000, 0.5000, 0.0000)  0.51
La (0.0000, 0.0000, 0.0000)  -0.01
Na (0.5000, 0.5000, 0.5000)  0.00
Te (0.0000, 0.0000, 0.5000)  0.41



According to the calculations, the structures order from most to least stable as x, w.



--- w ---
Crystalline La2NbN3 at its relaxed geometry, computed with PBE.

## Properties
symmetry: C2/c
total magnetization: 0.00 μB/f.u.

Cell: 5.6371 6.3340 12.6301 Å, 87.87 85.22 63.58°
Atoms (fractional coordinates):
La (0.0174, 0.3988, 0.1400)
La (0.5838, 0.3988, 0.3600)
La (0.4162, 0.6012, 0.6400)
La (0.6584, 0.2268, 0.9227)
La (0.9826, 0.6012, 0.8600)
La (0.1149, 0.2268, 0.5773)
La (0.8851, 0.7732, 0.4227)
La (0.3416, 0.7732, 0.0773)
N (0.1386, 0.3395, 0.3854)
N (0.5219, 0.3395, 0.1146)
N (0.1317, 0.2029, 0.9573)
N (0.8614, 0.6605, 0.6146)
N (0.4781, 0.6605, 0.8854)
N (0.9924, 0.0152, 0.2500)
N (0.6654, 0.2029, 0.5427)
N (0.6398, 0.7203, 0.2500)
N (0.8683, 0.7971, 0.0427)
N (0.3346, 0.7971, 0.4573)
N (0.0076, 0.9848, 0.7500)
N (0.3602, 0.2797, 0.7500)
Nb (0.2970, 0.9935, 0.8293)
Nb (0.7030, 0.0065, 0.1707)
Nb (0.7095, 0.9935, 0.6707)
Nb (0.2905, 0.0065, 0.3293)



--- x ---
Crystalline La2NbN3 at its relaxed geometry, computed with PBE.

## Properties
symmetry: C2/c
total magnetization: 0.00 μB/f.u.

Cell: 5.7860 6.0411 6.0411 Å, 67.09 89.91 89.91°
Atoms (fractional coordinates):
N (0.9999, 0.1512, 0.1518)
N (0.7500, 0.6164, 0.3836)
N (0.4999, 0.1518, 0.1512)
N (0.5001, 0.8482, 0.8488)
N (0.2500, 0.3836, 0.6164)
N (0.0001, 0.8488, 0.8482)
Nb (0.7500, 0.9049, 0.0951)
Nb (0.2500, 0.0951, 0.9049)
La (0.2505, 0.8290, 0.5144)
La (0.2495, 0.4856, 0.1710)
La (0.7495, 0.1710, 0.4856)
La (0.7505, 0.5144, 0.8290)



According to the calculations, the structures order from most to least stable as w, x.



--- w ---
Crystalline La2Nb2N2O5 at its relaxed geometry, computed with PBE.

## Properties
symmetry: C2
total magnetization: 0.00 μB/f.u.

Cell: 7.6223 7.6223 7.5954 Å, 60.29 60.29 90.27°
Atoms (fractional coordinates):
La (0.3715, 0.6348, 0.7481)
La (0.8792, 0.6256, 0.7466)
La (0.3652, 0.6285, 0.2519)
La (0.3744, 0.1208, 0.2534)
O (0.8010, 0.1990, 0.0000)
O (0.1947, 0.1990, 0.6016)
O (0.9420, 0.0580, 0.5000)
O (0.5409, 0.0471, 0.5016)
O (0.9529, 0.4591, 0.4984)
O (0.5537, 0.0513, 0.8923)
O (0.5016, 0.4984, 0.0000)
O (0.2047, 0.7953, 0.0000)
O (0.8010, 0.8053, 0.3984)
O (0.9487, 0.4463, 0.1077)
Nb (0.9035, 0.1387, 0.2249)
Nb (0.8630, 0.6190, 0.2700)
Nb (0.8613, 0.0965, 0.7751)
Nb (0.3810, 0.1370, 0.7300)
N (0.2470, 0.7530, 0.5000)
N (0.1920, 0.1892, 0.0019)
N (0.8108, 0.8080, 0.9981)
N (0.5600, 0.4400, 0.5000)



--- x ---
Crystalline La2Nb2N2O5 at its relaxed geometry, computed with PBE.

## Properties
symmetry: Cmc2_1
total magnetization: 0.00 μB/f.u.

Cell: 13.3613 13.3613 5.7533 Å, 90.00 90.00 162.66°
Atoms (fractional coordinates):
La (0.4485, 0.5515, 0.9842)
La (0.2989, 0.7011, 0.5514)
La (0.5515, 0.4485, 0.4842)
La (0.7011, 0.2989, 0.0514)
O (0.1234, 0.8766, 0.1336)
O (0.9843, 0.0157, 0.7561)
O (0.7978, 0.2022, 0.2826)
O (0.7785, 0.2215, 0.7884)
O (0.8766, 0.1234, 0.6336)
O (0.2215, 0.7785, 0.2884)
O (0.9107, 0.0893, 0.1387)
O (0.0157, 0.9843, 0.2561)
O (0.0893, 0.9107, 0.6387)
O (0.2022, 0.7978, 0.7826)
N (0.6525, 0.3475, 0.4579)
N (0.3475, 0.6525, 0.9579)
N (0.4515, 0.5485, 0.4383)
N (0.5485, 0.4515, 0.9383)
Nb (0.1632, 0.8368, 0.5040)
Nb (0.0609, 0.9391, 0.9752)
Nb (0.8368, 0.1632, 0.0040)
Nb (0.9391, 0.0609, 0.4752)



According to the calculations, the structures order from most to least stable as x, w.



--- w ---
Crystalline LaNbSN2 at its relaxed geometry, computed with PBE.

## Properties
symmetry: P4/mmm
total magnetization: 0.01 μB/f.u.

Cell: 4.1397 4.1397 4.8579 Å, 90.00 90.00 90.00°
Atoms (fractional coordinates):
N (0.0000, 0.5000, 0.0000)
N (0.5000, 0.0000, 0.0000)
S (0.0000, 0.0000, 0.5000)
Nb (0.0000, 0.0000, 0.0000)
La (0.5000, 0.5000, 0.5000)



--- x ---
Crystalline LaNbSN2 at its relaxed geometry, computed with PBE.

## Properties
symmetry: P4/mmm
total magnetization: 1.87 μB/f.u.

Cell: 4.2179 4.2179 5.6687 Å, 90.00 90.00 90.00°
Each line ends with the local moment (μB).
Atoms (fractional coordinates):
N (0.5000, 0.0000, 0.0000)  -0.24
N (0.0000, 0.5000, 0.0000)  -0.24
La (0.0000, 0.0000, 0.0000)  -0.02
S (0.0000, 0.0000, 0.5000)  -0.09
Nb (0.5000, 0.5000, 0.5000)  2.22



According to the calculations, the structures order from most to least stable as w, x.



--- w ---
Crystalline LaNbSN2 at its relaxed geometry, computed with PBE.

## Properties
symmetry: P4/mmm
total magnetization: 0.00 μB/f.u.

Cell: 4.3148 4.4570 4.3148 Å, 90.00 90.00 90.00°
Atoms (fractional coordinates):
N (0.0000, 0.0000, 0.5000)
N (0.5000, 0.0000, 0.0000)
La (0.5000, 0.5000, 0.5000)
Nb (0.0000, 0.5000, 0.0000)
S (0.0000, 0.0000, 0.0000)



--- x ---
Crystalline LaNbSN2 at its relaxed geometry, computed with PBE.

## Properties
symmetry: P4/mmm
total magnetization: 2.83 μB/f.u.

Cell: 4.0003 8.4859 4.0003 Å, 90.00 90.00 90.00°
Each line ends with the local moment (μB).
Atoms (fractional coordinates):
Nb (0.0000, 0.5000, 0.0000)  2.32
La (0.0000, 0.0000, 0.0000)  0.01
S (0.5000, 0.5000, 0.5000)  -0.11
N (0.5000, 0.0000, 0.0000)  -0.02
N (0.0000, 0.0000, 0.5000)  -0.03



According to the calculations, the structures order from most to least stable as w, x.



--- w ---
Crystalline LaNbS2N at its relaxed geometry, computed with PBE.

## Properties
symmetry: P4/mmm
total magnetization: 1.84 μB/f.u.

Cell: 5.4658 5.4658 4.0877 Å, 90.00 90.00 90.00°
Each line ends with the local moment (μB).
Atoms (fractional coordinates):
S (0.0000, 0.5000, 0.0000)  -0.20
S (0.5000, 0.0000, 0.0000)  -0.20
La (0.0000, 0.0000, 0.0000)  -0.09
Nb (0.5000, 0.5000, 0.5000)  2.34
N (0.0000, 0.0000, 0.5000)  -0.27



--- x ---
Crystalline LaNbS2N at its relaxed geometry, computed with PBE.

## Properties
symmetry: P4/mmm
total magnetization: 0.00 μB/f.u.

Cell: 4.9145 4.9145 3.9998 Å, 90.00 90.00 90.00°
Atoms (fractional coordinates):
S (0.0000, 0.5000, 0.0000)
S (0.5000, 0.0000, 0.0000)
N (0.0000, 0.0000, 0.5000)
Nb (0.0000, 0.0000, 0.0000)
La (0.5000, 0.5000, 0.5000)



According to the calculations, the structures order from most to least stable as x, w.



--- w ---
Crystalline LaNbTeN2 at its relaxed geometry, computed with PBE.

## Properties
symmetry: P4/mmm
total magnetization: 0.00 μB/f.u.

Cell: 4.2656 4.2656 5.4734 Å, 90.00 90.00 90.00°
Atoms (fractional coordinates):
La (0.5000, 0.5000, 0.5000)
Nb (0.0000, 0.0000, 0.0000)
Te (0.0000, 0.0000, 0.5000)
N (0.0000, 0.5000, 0.0000)
N (0.5000, 0.0000, 0.0000)



--- x ---
Crystalline LaNbTeN2 at its relaxed geometry, computed with PBE.

## Properties
symmetry: P4/mmm
total magnetization: 2.33 μB/f.u.

Cell: 4.2700 4.2700 6.5582 Å, 90.00 90.00 90.00°
Each line ends with the local moment (μB).
Atoms (fractional coordinates):
Te (0.0000, 0.0000, 0.5000)  -0.10
La (0.0000, 0.0000, 0.0000)  -0.02
Nb (0.5000, 0.5000, 0.5000)  2.27
N (0.5000, 0.0000, 0.0000)  -0.10
N (0.0000, 0.5000, 0.0000)  -0.10



--- y ---
Crystalline LaNbTeN2 at its relaxed geometry, computed with PBE.

## Properties
symmetry: P4/mmm
total magnetization: 0.00 μB/f.u.

Cell: 4.3612 5.1591 4.3612 Å, 90.00 90.00 90.00°
Atoms (fractional coordinates):
Nb (0.0000, 0.5000, 0.0000)
N (0.0000, 0.0000, 0.5000)
N (0.5000, 0.0000, 0.0000)
Te (0.0000, 0.0000, 0.0000)
La (0.5000, 0.5000, 0.5000)



According to the calculations, the structures order from most to least stable as w, x, y.



--- w ---
Crystalline LaNd4N4 at its relaxed geometry, computed with PBE.

## Properties
symmetry: I4/m
total magnetization: 0.00 μB/f.u.

Cell: 5.1725 6.3871 6.3867 Å, 80.55 66.11 66.11°
Atoms (fractional coordinates):
Nd (0.3902, 0.4249, 0.7947)
Nd (0.1849, 0.2053, 0.4248)
Nd (0.8151, 0.7947, 0.5752)
Nd (0.6098, 0.5751, 0.2053)
La (0.0000, 0.0000, 0.0000)
N (0.0958, 0.6045, 0.2039)
N (0.9042, 0.3955, 0.7961)
N (0.7004, 0.2038, 0.3954)
N (0.2996, 0.7962, 0.6046)



--- x ---
Crystalline LaNd4N4 at its relaxed geometry, computed with PBE.

## Properties
symmetry: I-42m
total magnetization: 2.36 μB/f.u.

Cell: 5.9674 5.9674 7.0415 Å, 115.07 115.07 90.00°
Each line ends with the local moment (μB).
Atoms (fractional coordinates):
N (0.3629, 0.8765, 0.2394)  -0.02
N (0.1235, 0.1235, 0.7606)  -0.02
N (0.8765, 0.3629, 0.2394)  -0.02
N (0.6371, 0.6371, 0.7606)  -0.02
Nd (0.5000, 0.0000, 0.0000)  0.20
Nd (0.2842, 0.2842, 0.5683)  0.19
Nd (0.7158, 0.7158, 0.4317)  0.19
Nd (0.0000, 0.5000, 0.0000)  0.20
La (0.0000, 0.0000, 0.0000)  0.30



According to the calculations, the structures order from most to least stable as w, x.



--- w ---
Crystalline LaNd2N at its relaxed geometry, computed with PBE.

## Properties
symmetry: R-3m
total magnetization: 0.26 μB/f.u.

Cell: 3.5932 3.5932 10.2180 Å, 79.87 79.87 60.00°
Each line ends with the local moment (μB).
Atoms (fractional coordinates):
La (0.0000, 0.0000, 0.0000)  0.12
Nd (0.8796, 0.8796, 0.3612)  0.00
Nd (0.1204, 0.1204, 0.6388)  0.00
N (0.5000, 0.5000, 0.5000)  0.00



--- x ---
Crystalline LaNd2N at its relaxed geometry, computed with PBE.

## Properties
symmetry: P4/mmm
total magnetization: 0.00 μB/f.u.

Cell: 3.2626 3.2626 9.3512 Å, 90.00 90.00 90.00°
Atoms (fractional coordinates):
Nd (0.0000, 0.0000, 0.8422)
Nd (0.0000, 0.0000, 0.1578)
N (0.5000, 0.5000, 0.0000)
La (0.5000, 0.5000, 0.5000)



According to the calculations, the structures order from most to least stable as w, x.